VASP calculation (PBE+U) on crystalline Li3Co2Si2O8 at its relaxed geometry.

**E**: -193.7 eV/cell
**E above lowest polymorph**: 68 kJ/mol of formula units
**Total magnetization**: 14.000 μB/cell

CIF file:
```
data_Li3Co2Si2O8
_chemical_formula_sum 'Li6 Co4 Si4 O16'
_cell_length_a 7.561
_cell_length_b 7.216
_cell_length_c 6.749
_cell_angle_alpha 90.00
_cell_angle_beta 92.67
_cell_angle_gamma 90.00
_space_group_name_H-M_alt 'C 1 2 1'
_space_group_IT_number 5
_space_group_name_Hall 'C 2y'
loop_
_atom_site_label
_atom_site_type_symbol
_atom_site_fract_x
_atom_site_fract_y
_atom_site_fract_z
_atom_site_occupancy
Li1 Li 0.000 0.000 0.000 1
Li2 Li 0.160 0.599 0.941 1
Co1 Co 0.000 0.069 0.500 1
Co2 Co 0.000 0.676 0.500 1
Si1 Si 0.176 0.373 0.250 1
O1 O 0.039 0.548 0.252 1
O2 O 0.071 0.170 0.268 1
O3 O 0.178 0.881 0.556 1
O4 O 0.218 0.872 0.953 1
```